(1)
Entry from the Alexandria database: crystalline ZrReRu2 at its relaxed geometry (PBEsol).

Cell lengths 3.866, 3.866, 4.933 Å; angles 113.07, 113.07, 90.00 degrees
Sites, in units of the cell vectors:
Re 0.250 0.750 0.500
Ru 0.000 0.000 0.000
Ru 0.750 0.250 0.500
Zr 0.500 0.500 0.000

The calculation puts the total energy at -42.58 eV per cell. For the formation energy from the elements, the calculation gives 0.046 eV/atom. The total magnetization is 0.00 μB per atom. For the density of states at the Fermi level, the calculation gives 4.36 states/eV/f.u.



(2)
Entry from the Alexandria database: crystalline Pr3Si2ClO8 at its relaxed geometry (PBEsol).

Cell lengths 6.435, 7.741, 8.808 Å; angles 97.48, 90.00, 114.56 degrees
Sites, in units of the cell vectors:
O 0.884 0.292 0.148
O 0.297 0.848 0.465
O 0.592 0.708 0.352
O 0.703 0.152 0.535
O 0.766 0.308 0.845
O 0.450 0.152 0.035
O 0.458 0.692 0.655
O 0.703 0.526 0.081
O 0.297 0.474 0.919
O 0.550 0.848 0.965
O 0.178 0.474 0.419
O 0.116 0.708 0.852
O 0.408 0.292 0.648
O 0.822 0.526 0.581
O 0.542 0.308 0.345
O 0.234 0.692 0.155
Si 0.288 0.684 0.974
Si 0.712 0.316 0.026
Si 0.396 0.684 0.474
Si 0.604 0.316 0.526
Pr 0.574 0.000 0.250
Pr 0.707 0.627 0.827
Pr 0.921 0.627 0.327
Pr 0.293 0.373 0.173
Pr 0.079 0.373 0.673
Pr 0.426 0.000 0.750
Cl 0.023 0.000 0.250
Cl 0.977 0.000 0.750

The calculation puts the total energy at -231.09 eV per cell. The total magnetization is 0.00 μB per atom. For the density of states at the Fermi level, the calculation gives 0.00 states/eV/f.u. As for the uncorrected formation energy: -3.1783 eV per atom.



(3)
Entry from the Alexandria database: crystalline Ba3Y4O9 at its relaxed geometry (PBEsol).

Cell lengths 6.063, 6.063, 9.133 Å; angles 70.61, 70.61, 60.00 degrees
Sites, in units of the cell vectors:
Ba 0.589 0.589 0.234
Ba 0.999 0.999 0.003
Ba 0.165 0.165 0.506
O 0.464 0.036 0.928
O 0.142 0.583 0.255
O 0.572 0.464 0.928
O 0.120 0.711 0.591
O 0.583 0.019 0.255
O 0.036 0.572 0.928
O 0.578 0.120 0.591
O 0.711 0.578 0.591
O 0.019 0.142 0.255
Y 0.863 0.863 0.411
Y 0.425 0.425 0.726
Y 0.738 0.738 0.785
Y 0.299 0.299 0.102

The calculation puts the total energy at -132.42 eV per cell. The total magnetization is 0.00 μB per atom. For the density of states at the Fermi level, the calculation gives 0.00 states/eV/f.u. As for the uncorrected formation energy: -3.2150 eV per atom.



(4)
Entry from the Alexandria database: crystalline Mg2GaAg2 at its relaxed geometry (PBEsol).

Cell lengths 3.831, 6.979, 6.979 Å; angles 90.00, 90.00, 90.00 degrees
Sites, in units of the cell vectors:
Ag 0.000 0.359 0.859
Ag 0.000 0.859 0.641
Ag 0.000 0.641 0.141
Ag 0.000 0.141 0.359
Mg 0.500 0.339 0.161
Mg 0.500 0.161 0.661
Mg 0.500 0.839 0.339
Mg 0.500 0.661 0.839
Ga 0.000 0.500 0.500
Ga 0.000 0.000 0.000

The calculation puts the total energy at -28.12 eV per cell. For the formation energy from the elements, the calculation gives -0.132 eV/atom. The total magnetization is 0.00 μB per atom. For the density of states at the Fermi level, the calculation gives 1.78 states/eV/f.u.



(5)
Entry from the Alexandria database: crystalline CaCrCo3 at its relaxed geometry (PBEsol).

Cell lengths 4.217, 4.217, 4.217 Å; angles 90.00, 90.00, 90.00 degrees
Sites, in units of the cell vectors:
Ca 0.500 0.500 0.500
Co 0.000 0.500 0.000
Co 0.500 0.000 0.000
Co 0.000 0.000 0.500
Cr 0.000 0.000 0.000

The calculation puts the total energy at -32.07 eV per cell. For the formation energy from the elements, the calculation gives 0.704 eV/atom. The total magnetization is 0.00 μB per atom. For the density of states at the Fermi level, the calculation gives 4.73 states/eV/f.u.



(6)
Entry from the Alexandria database: crystalline CuHgO2F at its relaxed geometry (PBEsol).

Cell lengths 3.821, 3.821, 3.806 Å; angles 90.00, 90.00, 90.00 degrees
Sites, in units of the cell vectors:
F 0.000 0.000 0.500
O 0.000 0.500 0.000
O 0.500 0.000 0.000
Hg 0.500 0.500 0.500
Cu 0.000 0.000 0.000

The calculation puts the total energy at -19.51 eV per cell. The total magnetization is 0.02 μB per atom. For the density of states at the Fermi level, the calculation gives 3.28 states/eV/f.u. As for the uncorrected formation energy: -0.4370 eV per atom.



(7)
Entry from the Alexandria database: crystalline NaGe3P3 at its relaxed geometry (PBEsol).

Cell lengths 3.607, 8.327, 10.299 Å; angles 90.00, 90.00, 90.00 degrees
Sites, in units of the cell vectors:
Ge 0.000 0.003 0.147
Ge 0.000 0.711 0.220
Ge 0.500 0.816 0.914
Ge 0.500 0.184 0.414
Ge 0.000 0.997 0.647
Ge 0.000 0.289 0.720
P 0.000 0.236 0.277
P 0.500 0.369 0.582
P 0.000 0.764 0.777
P 0.500 0.929 0.506
P 0.500 0.631 0.082
P 0.500 0.071 0.006
Na 0.000 0.372 0.001
Na 0.000 0.628 0.501

The calculation puts the total energy at -69.37 eV per cell. For the formation energy from the elements, the calculation gives -0.156 eV/atom. The total magnetization is 0.00 μB per atom.



(8)
Entry from the Alexandria database: crystalline HgWSe2 at its relaxed geometry (PBEsol).

Cell lengths 3.228, 3.228, 9.617 Å; angles 99.96, 90.00, 120.00 degrees
Sites, in units of the cell vectors:
Se 0.770 0.540 0.816
Se 0.230 0.460 0.184
W 0.500 0.000 0.000
Hg 0.000 0.000 0.500

The calculation puts the total energy at -23.00 eV per cell. The total magnetization is 0.00 μB per atom. For the density of states at the Fermi level, the calculation gives 1.14 states/eV/f.u. As for the uncorrected formation energy: -0.2307 eV per atom.